1.
Below is a geometry-optimized ScCo3S structure, with properties calculated at the PBE-GGA level.

Cell: 4.4688 4.4688 4.4688 Å, 90.00 90.00 90.00°
Atoms (fractional coordinates):
Sc: 0.0000 0.0000 0.0000
Co: 0.0000 0.0000 0.5000
Co: 0.0000 0.5000 0.0000
Co: 0.5000 0.0000 0.0000
S: 0.5000 0.5000 0.5000

Calculated values
Formation energy without anion corrections = 1.510 eV/atom
Calculated total energy = -4.8454 eV per atom
Polymorph energy (0 for the lowest one) = 1.691 eV per atom
Magnetic moment = 3.67 Bohr magnetons per cell

=====

2.
Below is a geometry-optimized Mg2TeMo structure, with properties calculated at the PBE-GGA level.

Cell: 9.6807 9.6807 9.6807 Å, 19.01 19.01 19.01°
Atoms (fractional coordinates):
Mg: 0.2428 0.2428 0.2428
Mg: 0.7572 0.7572 0.7572
Te: 0.0000 0.0000 0.0000
Mo: 0.5000 0.5000 0.5000

Calculated values
Formation energy without anion corrections = 0.335 eV/atom
Calculated total energy = -3.9559 eV per atom
Magnetic moment = 0.00 Bohr magnetons per cell

=====

3.
Below is a geometry-optimized Li3YAu structure, with properties calculated at the PBE-GGA level.

Cell: 4.7907 4.7907 4.7907 Å, 90.00 90.00 90.00°
Atoms (fractional coordinates):
Li: 0.0000 0.0000 0.5000
Li: 0.0000 0.5000 0.0000
Li: 0.5000 0.0000 0.0000
Y: 0.5000 0.5000 0.5000
Au: 0.0000 0.0000 0.0000

Calculated values
Energy relative to the elements = -0.0215 eV/atom
Calculated total energy = -3.1181 eV per atom
Polymorph energy (0 for the lowest one) = 0.255 eV per atom
Magnetic moment = 0.71 Bohr magnetons per cell

=====

4.
Below is a geometry-optimized NaHgPS4 structure, with properties calculated at the PBE-GGA level.

Cell: 6.3431 7.2041 8.1670 Å, 90.00 96.44 90.00°
Atoms (fractional coordinates):
Na: 0.1601 0.2500 0.0259
Na: 0.8399 0.7500 0.9741
Hg: 0.2296 0.2500 0.6020
Hg: 0.7704 0.7500 0.3980
P: 0.2400 0.7500 0.2681
P: 0.7600 0.2500 0.7319
S: 0.0306 0.5245 0.2665
S: 0.0306 0.9755 0.2665
S: 0.3961 0.7500 0.0705
S: 0.4249 0.7500 0.4961
S: 0.5751 0.2500 0.5039
S: 0.6039 0.2500 0.9295
S: 0.9694 0.0245 0.7335
S: 0.9694 0.4755 0.7335

Calculated values
Formation energy without anion corrections = -0.388 eV/atom
Calculated total energy = -3.7508 eV per atom
Magnetic moment = 0.00 Bohr magnetons per cell

=====

5.
Below is a geometry-optimized Dy4Th2Sc5 structure, with properties calculated at the PBE-GGA level.

Cell: 3.3883 8.4385 11.3006 Å, 83.77 89.23 78.82°
Atoms (fractional coordinates):
Dy: 0.1573 0.2001 0.4679
Dy: 0.3394 0.7372 0.8202
Dy: 0.6606 0.2628 0.1798
Dy: 0.8427 0.7999 0.5321
Th: 0.0372 0.3572 0.8871
Th: 0.9628 0.6428 0.1129
Sc: 0.2918 0.9119 0.2684
Sc: 0.4854 0.5490 0.3655
Sc: 0.5000 0.0000 0.0000
Sc: 0.5146 0.4510 0.6345
Sc: 0.7082 0.0881 0.7316

Calculated values
Energy relative to the elements = 0.0606 eV/atom
Calculated total energy = -5.8399 eV per atom
Magnetic moment = 0.00 Bohr magnetons per cell

=====

6.
Below is a geometry-optimized LaPrPI structure, with properties calculated at the PBE-GGA level.

Cell: 8.2755 8.2755 8.2755 Å, 29.63 29.63 29.63°
Atoms (fractional coordinates):
La: 0.0000 0.0000 0.0000
Pr: 0.2037 0.2037 0.2037
P: 0.6025 0.6025 0.6025
I: 0.4359 0.4359 0.4359

Calculated values
Formation energy without anion corrections = -1.414 eV/atom
Calculated total energy = -5.5812 eV per atom
Magnetic moment = 0.00 Bohr magnetons per cell